CaOsAu2 | Alexandria | PBE-GGA | relaxed; DFT formation energy = 268 meV/atom; polymorph energy (0 for the lowest one) = 145 meV per atom; space group = I-4m2, No. 119; electronic total energy = -18.7 eV/cell
1.0
-2.8037 -3.8430 2.3998
1.7126 -1.1957 4.9016
-1.2409 4.5167 -2.5393
Au Os Ca
2 1 1
direct
0.0000 0.0000 0.0000 Au
0.2500 0.7500 0.5000 Au
0.7500 0.2500 0.5000 Os
0.5000 0.5000 0.0000 Ca

CaOsAu2 | Alexandria | PBE-GGA | relaxed; DFT formation energy = 123 meV/atom; polymorph energy (0 for the lowest one) = 0 meV per atom; space group = Cmmm, No. 65; electronic total energy = -19.3 eV/cell
1.0
4.7227 0.2838 0.0000
-0.3912 4.7151 0.0000
0.0000 0.0000 3.2980
Au Ca Os
2 1 1
direct
0.5000 0.5000 0.0000 Au
0.0000 0.0000 0.0000 Au
0.5000 0.0000 0.5000 Ca
0.0000 0.5000 0.5000 Os

CaOsAu2 | Alexandria | PBE-GGA | relaxed; DFT formation energy = 453 meV/atom; polymorph energy (0 for the lowest one) = 330 meV per atom; space group = F-43m, No. 216; electronic total energy = -18.0 eV/cell
1.0
4.7535 0.0000 0.0000
2.3768 4.1167 0.0000
2.3768 1.3722 3.8812
Au Ca Os
2 1 1
direct
0.0000 0.0000 0.0000 Au
0.2500 0.2500 0.2500 Au
0.5000 0.5000 0.5000 Ca
0.7500 0.7500 0.7500 Os

CaOsAu2 | Alexandria | PBE-GGA | relaxed; DFT formation energy = 267 meV/atom; polymorph energy (0 for the lowest one) = 144 meV per atom; space group = P4/mmm, No. 123; electronic total energy = -18.7 eV/cell
1.0
3.4418 0.0006 0.0000
-0.0007 3.4418 0.0000
0.0000 0.0000 6.5913
Au Os Ca
2 1 1
direct
0.0000 0.0000 0.5380 Au
0.0000 0.0000 0.9620 Au
0.5000 0.5000 0.7500 Os
0.5000 0.5000 0.2500 Ca

CaOsAu2 | Alexandria | PBE-GGA | relaxed; DFT formation energy = 497 meV/atom; polymorph energy (0 for the lowest one) = 374 meV per atom; space group = R-3m, No. 166; electronic total energy = -17.8 eV/cell
1.0
-1.2642 4.2903 -8.6578
0.9275 2.4217 -9.3935
-1.8960 1.4933 -9.4413
Au Os Ca
2 1 1
direct
0.5041 0.5041 0.5041 Au
0.9959 0.9959 0.9959 Au
0.2500 0.2500 0.2500 Os
0.7500 0.7500 0.7500 Ca

CaOsAu | Alexandria | PBE-GGA | relaxed; DFT formation energy = 351 meV/atom; polymorph energy (0 for the lowest one) = 0 meV per atom; space group = P-6m2, No. 187; electronic total energy = -15.5 eV/cell
1.0
4.5441 0.0000 0.0000
-2.2720 3.9353 0.0000
0.0000 0.0000 3.4564
Au Ca Os
1 1 1
direct
0.0000 0.0000 0.8333 Au
0.3333 0.6667 0.3333 Ca
0.6667 0.3333 0.8334 Os

CaOsAu2Se | Alexandria | PBE-GGA | relaxed; space group = P4/mmm, No. 123; E_form (uncorrected) = 0.9352 eV/atom; electronic total energy = -18.6 eV/cell
1.0
-2.2321 -2.3716 3.6979
1.2808 -4.7105 -2.2480
4.2331 -0.0524 2.5216
Au Se Os Ca
2 1 1 1
direct
0.5000 0.0000 0.0000 Au
0.0000 0.0000 0.5000 Au
0.0000 0.0000 0.0000 Se
0.5000 0.5000 0.5000 Os
0.0000 0.5000 0.0000 Ca

CaSn2OsAu | Alexandria | PBE-GGA | relaxed; DFT formation energy = 1669 meV/atom; space group = P4/mmm, No. 123; electronic total energy = -16.2 eV/cell
1.0
-5.2869 -1.8702 0.0655
0.8285 -2.4817 -3.9828
1.5972 -4.4073 3.0785
Sn Ca Os Au
2 1 1 1
direct
0.0000 0.0000 0.5000 Sn
0.5000 0.0000 0.0000 Sn
0.0000 0.0000 0.0000 Ca
0.0000 0.5000 0.0000 Os
0.5000 0.5000 0.5000 Au

| no. | V (Å³ per atom) | DOS at the Fermi energy (states/eV/cell) | total magnetic moment (μB per cell) |
| --- | --- | --- | --- |
| 1 | 18.806 | 5.2 | 1.18 |
| 2 | 18.452 | 1.8 | 0.00 |
| 3 | 18.988 | 7.1 | 1.42 |
| 4 | 19.520 | 3.7 | 0.57 |
| 5 | 18.351 | 3.9 | 0.00 |
| 6 | 20.603 | 3.6 | 0.44 |
| 7 | 26.098 | 3.9 | 2.55 |
| 8 | 29.977 | 4.7 | 0.81 |